[1]
BaP2, relaxed, DFT PBEsol; energy of formation = -78.3 kJ per mole of atoms; space-group type = No. 14
1.0
-2.9063 -2.8440 -4.8663
6.2650 -0.6539 -1.0646
-0.0477 -10.3829 6.0965
P Ba
12 6
Cartesian
2.2661 -2.6348 -1.5278
4.7875 -9.2775 3.0992
-1.4765 -4.6033 -2.9336
0.2060 -9.4755 0.6717
2.4851 -6.3252 -1.3697
0.8259 -7.5556 1.5353
3.1050 -4.4052 -0.5061
5.6425 -7.5284 2.0544
0.8195 -1.5738 -0.1672
2.4914 -12.3070 0.3328
-2.3316 -6.3524 -1.8888
1.0448 -11.2459 1.6934
1.5567 -4.6593 -4.0699
1.7543 -9.2215 4.2355
3.1086 -5.5184 2.5160
-0.1310 -4.7371 -0.0318
-1.4531 -1.4220 -2.4331
3.4420 -9.1437 0.1975


[2]
KRb3CdCl6, relaxed, DFT PBEsol; space-group type = No. 167
1.0
-7.0109 -4.6549 2.2918
4.3075 -7.3363 -1.9229
2.9702 -0.3414 8.1936
Cl Rb Cd K
12 6 2 2
Cartesian
-1.7250 -8.0395 4.3514
0.2286 -6.2148 6.9186
2.2760 -8.3039 -0.5430
5.7171 -7.2822 4.1790
-2.0092 -4.0288 9.1056
-5.4504 -5.0505 4.3835
-1.7121 -4.2803 4.3451
3.5235 -2.7859 7.3657
0.0382 -6.1179 1.6439
1.9917 -4.2932 4.2112
-3.2567 -9.5468 1.1969
1.9789 -8.0524 4.2174
3.5402 -6.0573 6.5267
0.1525 -2.9224 6.7585
3.4544 -6.2181 1.9088
-3.2734 -6.2754 2.0359
0.1142 -9.4103 1.8041
-3.1876 -6.1146 6.6537
0.1334 -6.1663 4.2813
0.0000 0.0000 0.0000
0.0667 -3.0832 2.1406
0.2001 -9.2495 6.4219


[3]
RhSeBr2, relaxed, DFT PBEsol; space-group type = No. 38; relative energy among the computed polymorphs = 0.00 kJ/mol of atoms
1.0
-0.0500 1.2245 3.3533
-0.5101 -4.9534 1.8012
4.8082 2.0739 -0.6856
Rh Se Br
1 1 2
Cartesian
2.4614 0.9204 -0.2994
3.0676 0.2258 1.8639
1.1545 -1.8288 2.5856
4.2666 -2.8151 1.0917


[4]
LiTi2Ni, relaxed, DFT PBEsol; energy of formation = 3.2 kJ per mole of atoms; space-group type = No. 225
1.0
4.2645 0.0000 0.0000
2.1323 3.6932 0.0000
2.1323 1.2311 3.4820
Ti Li Ni
2 1 1
Cartesian
2.1323 1.2311 0.8705
6.3968 3.6932 2.6115
0.0000 0.0000 0.0000
4.2645 2.4621 1.7410


Ordered E_tot results: -5.39 -3.33 -4.14 -6.16; unit eV per atom.